Below is a relaxed Lu4SbAuN2 crystal, with properties calculated at the GGA-PBE level.

**Space group**: No. 187

Lattice parameters (Å, degrees): 3.471 3.471 14.225 90.00 90.00 120.00
Fractional coordinates of all 8 atoms:
Lu1 0.667 0.333 0.150
Lu2 0.667 0.333 0.850
Lu3 0.000 0.000 0.333
Lu4 0.000 0.000 0.667
Sb1 0.667 0.333 0.500
Au1 0.000 0.000 0.000
N1 0.333 0.667 0.252
N2 0.333 0.667 0.748



Below is a relaxed TbGdHo crystal, with properties calculated at the GGA-PBE level.

**Space group**: No. 216
**ΔH_f (0 K)**: 2.157 eV/f.u.

Lattice parameters (Å, degrees): 5.412 5.412 5.412 60.00 60.00 60.00
Fractional coordinates of all 3 atoms:
Gd1 0.250 0.250 0.250
Tb1 0.750 0.750 0.750
Ho1 0.000 0.000 0.000



no.,total DFT energy (no corrections) (eV/cell)
1,-51.88
2,-11.70